(1)
VASP calculation (PBE) on Na2TiGa2O6 after structural relaxation.

Computed properties:
- Total magnetic moment: 0.0 μB per cell
- Formation energy without anion corrections: -2.118 eV/atom
- E: -0.2326 Ha/atom

a b c (Å): 5.1694 5.1694 5.8399
angles (deg): 98.93 98.93 119.58
Sites, in units of the cell vectors:
Na 0.8298 0.1702 0.0000
Na 0.1702 0.8298 0.0000
Ti 0.0000 0.0000 0.5000
Ga 0.3347 0.6653 0.5000
Ga 0.6653 0.3347 0.5000
O 0.7388 0.7388 0.6872
O 0.0588 0.3924 0.6903
O 0.2612 0.2612 0.3128
O 0.3924 0.0588 0.6903
O 0.9412 0.6076 0.3097
O 0.6076 0.9412 0.3097

(2)
VASP calculation (PBE) on ErTmSb2O8 after structural relaxation.

Computed properties:
- Total magnetic moment: 0.0 μB per cell
- Formation energy without anion corrections: -2.366 eV/atom
- E: -0.2613 Ha/atom

a b c (Å): 5.2140 5.2140 6.6581
angles (deg): 113.05 113.05 90.00
Sites, in units of the cell vectors:
Er 0.0000 0.0000 0.0000
Tm 0.7500 0.2500 0.5000
Sb 0.5000 0.5000 0.0000
Sb 0.2500 0.7500 0.5000
O 0.7757 0.8461 0.1806
O 0.4049 0.3344 0.1806
O 0.5954 0.6527 0.6793
O 0.0840 0.0267 0.6793
O 0.9733 0.4046 0.3207
O 0.3473 0.9160 0.3207
O 0.1539 0.5951 0.8194
O 0.6656 0.2243 0.8194

(3)
VASP calculation (PBE) on Rb3Pr2ErO6 after structural relaxation.

Computed properties:
- Total magnetic moment: 0.0 μB per cell
- Formation energy without anion corrections: -2.583 eV/atom
- E: -0.2382 Ha/atom

a b c (Å): 6.2846 6.2846 6.9219
angles (deg): 98.69 98.69 120.01
Sites, in units of the cell vectors:
Rb 0.1647 0.8353 0.5000
Rb 0.8353 0.1647 0.5000
Rb 0.5000 0.5000 0.5000
Pr 0.3333 0.6667 0.0000
Pr 0.6667 0.3333 0.0000
Er 0.0000 0.0000 0.0000
O 0.9403 0.6217 0.8210
O 0.7408 0.7408 0.1790
O 0.0597 0.3783 0.1790
O 0.6217 0.9403 0.8210
O 0.2592 0.2592 0.8210
O 0.3783 0.0597 0.1790